This record from the Alexandria database describes crystalline Rb2DyCuCl6 at its relaxed geometry. The functional is GGA-PBEsol.

## Properties
Total magnetization in μB/f.u.: 0.020
Raw formation energy in eV/atom: -1.769

Lattice parameters (Å, degrees): 7.181 7.181 7.181 60.00 60.00 60.00
Positions (direct):
Rb: 0.750 0.750 0.750
Rb: 0.250 0.250 0.250
Dy: 0.000 0.000 0.000
Cu: 0.500 0.500 0.500
Cl: 0.744 0.256 0.256
Cl: 0.744 0.744 0.256
Cl: 0.256 0.744 0.744
Cl: 0.744 0.256 0.744
Cl: 0.256 0.744 0.256
Cl: 0.256 0.256 0.744

---

This record from the Alexandria database describes crystalline CuClF10 at its relaxed geometry. The functional is GGA-PBEsol.

## Properties
Total magnetization in μB/f.u.: 0.065
Raw formation energy in eV/atom: -0.740

Lattice parameters (Å, degrees): 5.195 7.826 8.782 90.00 90.00 96.19
Positions (direct):
Cu: 0.000 0.500 0.000
Cu: 0.500 0.500 0.500
Cl: 0.500 0.000 0.000
Cl: 0.000 0.000 0.500
F: 0.324 0.155 0.947
F: 0.176 0.845 0.447
F: 0.676 0.845 0.053
F: 0.824 0.155 0.553
F: 0.648 0.011 0.833
F: 0.852 0.989 0.333
F: 0.352 0.989 0.167
F: 0.148 0.011 0.667
F: 0.274 0.852 0.931
F: 0.226 0.148 0.431
F: 0.726 0.148 0.069
F: 0.774 0.852 0.569
F: 0.961 0.652 0.858
F: 0.539 0.348 0.358
F: 0.039 0.348 0.142
F: 0.461 0.652 0.642
F: 0.084 0.358 0.860
F: 0.416 0.642 0.360
F: 0.916 0.642 0.140
F: 0.584 0.358 0.640

---

Number 2 is which compound? CuClF10

---

The lowest total magnetization belongs to which entry? Rb2DyCuCl6

---

Which value of raw formation energy does entry 1 give? -1.769 eV/atom